# CoAg2I2

CoAg2I2 after structural relaxation (PBE, Alexandria).

Cell lengths 5.805, 5.805, 5.758 Å; angles 59.73, 59.73, 90.00 degrees
Each line ends with the local moment (μB).
Fractional coordinates of all 5 atoms:
I 0.750 0.250 0.500  0.03
I 0.250 0.750 0.500  0.03
Co 0.000 0.000 0.000  2.12
Ag 0.325 0.325 0.350  -0.01
Ag 0.675 0.675 0.650  -0.01

Computed properties:
Uncorrected energy (eV/atom): -2.51
Excess energy over the best structure of this formula in the dataset (meV per atom): 42
ρ (Mg/m³): 6.45
Space-group type: I4/mmm (139)
Energy relative to the elements, uncorrected (meV per atom): 669